(1)
Here is CaSnN after structural relaxation from Alexandria. Energies are from GGA-PBE.

```
6
Lattice="-1.9874 0.5603 2.6126 3.0538 -4.4191 3.2681 4.2457 2.3567 4.8236" Properties=species:S:1:pos:R:3 pbc="T T T"
N 5.7999 -1.6171 8.4361
N 2.2157 -0.6823 3.3973
Ca 1.7905 1.4604 6.8531
Ca 1.4327 -2.1973 5.2595
Sn 0.2582 0.2244 3.8339
Sn 4.2541 -1.0585 7.1451
```

## Properties
density of states at the Fermi level = 1.09 states/eV/f.u.
total magnetization = 0.0 μB per formula unit

(2)
Here is Ca7SnN2 after structural relaxation from Alexandria. Energies are from GGA-PBE.

```
10
Lattice="4.7529 0.0000 0.0000 0.0000 7.7050 0.6415 0.0000 -2.8233 7.1977" Properties=species:S:1:pos:R:3 pbc="T T T"
Ca 0.0000 4.5674 2.5954
Ca 2.3764 2.4408 3.9196
Ca 2.3764 2.3050 0.4112
Ca 2.3764 -0.6478 2.2500
Ca 2.3764 2.5766 7.4280
Ca 0.0000 0.3143 5.2439
Ca 2.3764 5.5295 5.5892
Sn 0.0000 0.0000 0.0000
N 2.3764 4.6568 2.5397
N 2.3764 0.2248 5.2996
```

## Properties
density of states at the Fermi level = 3.04 states/eV/f.u.
total magnetization = 1.7 μB per formula unit

(3)
Here is Sr2CaSnN after structural relaxation from Alexandria. Energies are from GGA-PBE.

```
5
Lattice="-3.5854 -1.4690 -3.6307 0.1208 -4.9614 1.8881 -3.5805 1.0905 3.0945" Properties=species:S:1:pos:R:3 pbc="T T T"
Sn -3.5225 -2.6699 0.6759
N 0.0000 0.0000 0.0000
Sr -1.7927 -0.7345 -1.8154
Sr 0.0604 -2.4807 0.9441
Ca -1.7902 0.5452 1.5472
```

## Properties
density of states at the Fermi level = 4.23 states/eV/f.u.
total magnetization = 0.0 μB per formula unit

(4)
Here is SrCa2SnN after structural relaxation from Alexandria. Energies are from GGA-PBE.

```
5
Lattice="4.9231 0.0000 0.0000 0.0000 4.9231 0.0000 0.0000 0.0000 5.2730" Properties=species:S:1:pos:R:3 pbc="T T T"
Sr 0.0000 0.0000 2.6365
Ca 0.0000 2.4615 0.0000
Ca 2.4615 0.0000 0.0000
N 0.0000 0.0000 0.0000
Sn 2.4615 2.4615 2.6365
```

## Properties
density of states at the Fermi level = 4.67 states/eV/f.u.
total magnetization = 0.0 μB per formula unit

(5)
Here is CaTb2SnN4 after structural relaxation from Alexandria. Energies are from GGA-PBE.

```
16
Lattice="3.4590 0.0000 0.0000 -1.7295 5.9933 0.0000 0.0000 0.0000 12.2589" Properties=species:S:1:pos:R:3 pbc="T T T"
Sn 0.0000 1.7665 3.0647
Sn 1.7295 4.2268 9.1942
N 1.7295 2.9261 7.5914
N 1.7295 0.5328 3.0647
N 1.7295 2.9261 10.7969
N 0.0000 0.0000 0.0000
N 0.0000 0.0000 6.1294
N 0.0000 3.0671 1.4620
N 0.0000 3.0671 4.6675
N 0.0000 5.4605 9.1942
Tb 0.0000 4.4368 11.9081
Tb 1.7295 1.5564 0.3508
Tb 0.0000 4.4368 6.4802
Tb 1.7295 1.5564 5.7787
Ca 0.0000 1.4074 9.1942
Ca 1.7295 4.5859 3.0647
```

## Properties
total magnetization = 0.0 μB per formula unit

(6)
Here is Ca2TbSnN after structural relaxation from Alexandria. Energies are from GGA-PBE.

```
5
Lattice="4.8686 0.0000 0.0000 0.0000 4.8597 0.0000 0.0000 0.0000 4.8597" Properties=species:S:1:pos:R:3 pbc="T T T"
Sn 2.4343 2.4298 2.4298
Ca 0.0000 2.4298 0.0000
Ca 0.0000 0.0000 2.4298
N 0.0000 0.0000 0.0000
Tb 2.4343 0.0000 0.0000
```

## Properties
density of states at the Fermi level = 0.34 states/eV/f.u.
total magnetization = 0.0 μB per formula unit

(7)
Here is Ca2TcSnN after structural relaxation from Alexandria. Energies are from GGA-PBE.

```
5
Lattice="5.0200 0.0000 0.0000 0.0000 5.0200 0.0000 0.0000 0.0000 3.9379" Properties=species:S:1:pos:R:3 pbc="T T T"
Ca 0.0000 2.5100 0.0000
Ca 2.5100 0.0000 0.0000
N 0.0000 0.0000 0.0000
Tc 0.0000 0.0000 1.9689
Sn 2.5100 2.5100 1.9689
```

## Properties
density of states at the Fermi level = 2.99 states/eV/f.u.
total magnetization = 0.0 μB per formula unit

(8)
Here is Ca4TcSn3N8 after structural relaxation from Alexandria. Energies are from GGA-PBE.

```
16
Lattice="6.6467 0.0000 0.0000 0.0000 6.6979 0.0318 -3.3233 -3.3203 4.7021" Properties=species:S:1:pos:R:3 pbc="T T T"
N 1.6132 1.8472 0.0957
N 3.3233 3.2217 2.2749
N 0.0000 3.2389 2.2186
N 0.0000 0.1559 2.4590
N -1.7102 1.5303 4.6382
N 5.0335 1.8472 0.0957
N 3.3233 0.1386 2.5153
N 1.7102 1.5303 4.6382
Ca 0.0000 0.0000 0.0000
Ca -1.6617 -1.6602 2.3510
Ca 1.6617 -1.6602 2.3510
Ca 3.3233 0.0000 0.0000
Sn -1.6617 1.6888 2.3669
Sn 1.6617 1.6888 2.3669
Sn 3.3233 3.3489 0.0159
Tc 0.0000 3.3489 0.0159
```

## Properties
density of states at the Fermi level = 1.12 states/eV/f.u.
total magnetization = 3.0 μB per formula unit

(9)
Here is CaSnTe2N after structural relaxation from Alexandria. Energies are from GGA-PBE.

```
5
Lattice="-4.9759 -2.2455 2.2123 -0.0549 -4.0717 -4.2562 2.1677 -2.4870 2.3512" Properties=species:S:1:pos:R:3 pbc="T T T"
Ca -1.4316 -4.4021 0.1536
Te -0.0274 -2.0358 -2.1281
Te -2.4880 -1.1228 1.1062
Sn 0.0000 0.0000 0.0000
N 1.0838 -1.2435 1.1756
```

## Properties
density of states at the Fermi level = 3.37 states/eV/f.u.
E above lowest polymorph = 0.000 kcal/mol of atoms
total magnetization = 0.9 μB per formula unit

(10)
Here is CaSnTe2N after structural relaxation from Alexandria. Energies are from GGA-PBE.

```
5
Lattice="5.9469 0.0000 0.0000 0.0000 5.9469 0.0000 0.0000 0.0000 4.2656" Properties=species:S:1:pos:R:3 pbc="T T T"
Ca 0.0000 0.0000 0.0000
Te 0.0000 2.9735 0.0000
Te 2.9735 0.0000 0.0000
N 0.0000 0.0000 2.1328
Sn 2.9735 2.9735 2.1328
```

## Properties
density of states at the Fermi level = 7.03 states/eV/f.u.
E above lowest polymorph = 11.215 kcal/mol of atoms
total magnetization = 0.0 μB per formula unit

(11)
Here is Ca12TlSn4N3 after structural relaxation from Alexandria. Energies are from GGA-PBE.

```
20
Lattice="-1.0474 -5.4627 -6.9067 -0.8996 -4.5699 7.5463 -6.1347 6.3950 -0.3323" Properties=species:S:1:pos:R:3 pbc="T T T"
Ca -2.7321 -4.5600 2.1233
Ca -5.3496 0.9224 -1.8160
Ca -5.1406 0.6673 -5.1813
Ca -1.9995 0.5188 2.0506
Ca -4.0039 -1.5956 3.7669
Ca -2.7690 -4.7833 -1.4899
Ca -4.0778 -2.0420 -3.4596
Ca -0.5534 -2.8518 0.1818
Ca -5.0347 1.3063 5.1634
Ca -1.3936 -7.1808 0.4578
Ca -5.3126 1.1456 1.7973
Ca -2.0415 0.2650 -2.0577
Sn -0.4498 -2.2850 3.7732
Sn -3.0673 3.1975 -0.1661
Sn -4.0408 -1.8188 0.1537
Sn -0.5237 -2.7314 -3.4533
N -3.5171 0.9125 3.6070
N -0.9735 -5.0163 0.3198
N -3.5910 0.4661 -3.6195
Tl 0.0000 0.0000 0.0000
```

## Properties
density of states at the Fermi level = 10.06 states/eV/f.u.
total magnetization = 0.0 μB per formula unit

(12)
Here is Ca2USnN4 after structural relaxation from Alexandria. Energies are from GGA-PBE.

```
8
Lattice="3.5474 0.0000 0.0000 0.0000 6.2935 0.0811 0.0000 -2.2012 5.5525" Properties=species:S:1:pos:R:3 pbc="T T T"
Ca 0.0000 2.0462 2.8168
Ca 1.7737 -1.1006 2.7762
N 0.0000 4.0026 1.3146
N 0.0000 0.0897 4.3190
N 1.7737 1.4515 1.2054
N 1.7737 2.6409 4.4281
U 1.7737 3.1468 0.0405
Sn 0.0000 0.0000 0.0000
```

## Properties
density of states at the Fermi level = 0.03 states/eV/f.u.
total magnetization = 0.0 μB per formula unit

Raw formation energy values, unit eV/atom, following the record order: -0.46, -0.40, -0.69, -0.74, -0.88, -1.00, -0.49, -0.40, 0.07, 0.56, -0.66, -0.86.